1.
A plane-wave DFT calculation with PBE was carried out for a geometry-optimized FeNiPtPb structure. Values from VASP.

Quantum ESPRESSO input file:
```
&SYSTEM
  ibrav = 0, nat = 4, ntyp = 4
/
ATOMIC_SPECIES
Fe 55.84 Fe.upf
Ni 58.69 Ni.upf
Pt 195.08 Pt.upf
Pb 207.20 Pb.upf
ATOMIC_POSITIONS angstrom
Fe 0.0000 0.0000 0.0000
Ni 3.1420 3.1420 3.1420
Pt 1.5710 1.5710 1.5710
Pb 4.7130 4.7130 4.7130
CELL_PARAMETERS angstrom
0.0000 3.1420 3.1420
3.1420 0.0000 3.1420
3.1420 3.1420 0.0000
```

Results
Energy: -23.0 eV per cell
Crystal system: cubic
Space-group type: F-43m (216)

2.
A plane-wave DFT calculation with PBE was carried out for a geometry-optimized SrCoTeAu structure. Values from VASP.

Quantum ESPRESSO input file:
```
&SYSTEM
  ibrav = 0, nat = 4, ntyp = 4
/
ATOMIC_SPECIES
Sr 87.62 Sr.upf
Co 58.93 Co.upf
Te 127.60 Te.upf
Au 196.97 Au.upf
ATOMIC_POSITIONS angstrom
Sr 0.0000 0.0000 0.0000
Co 5.3688 5.3688 5.3688
Te 3.5792 3.5792 3.5792
Au 1.7896 1.7896 1.7896
CELL_PARAMETERS angstrom
0.0000 3.5792 3.5792
3.5792 0.0000 3.5792
3.5792 3.5792 0.0000
```

Results
Energy: -15.0 eV per cell
Crystal system: cubic
Space-group type: F-43m (216)

Q: energy of number 2 (SrCoTeAu)?
A: -15.0 eV per cell

Q: Which of these has the lowest energy?
A: FeNiPtPb